Computed, not measured: TbPr4Sm2Y2 after structural relaxation at the GGA-PBE level of DFT.

Computed properties:
Its formation energy is 18 meV per atom. For the total energy, the calculation gives -5.1055 eV per atom.

a b c (Å): 8.174 8.174 8.133
angles (deg): 107.56 107.56 36.85
Atoms (fractional coordinates):
Tb (0.000, 0.000, 0.000)
Pr (0.222, 0.222, 0.332)
Pr (0.446, 0.446, 0.669)
Pr (0.554, 0.554, 0.331)
Pr (0.778, 0.778, 0.668)
Sm (0.111, 0.111, 0.669)
Sm (0.889, 0.889, 0.331)
Y (0.333, 0.333, 0.000)
Y (0.667, 0.667, 0.000)